! Tb3PmNd2Te6 | Alexandria via LeMat-Bulk | PBE | optimized geometry; values from VASP
&SYSTEM
  ibrav = 0, nat = 12, ntyp = 4
/
ATOMIC_SPECIES
Te 127.60 Te.upf
Tb 158.93 Tb.upf
Nd 144.24 Nd.upf
Pm 145.00 Pm.upf
ATOMIC_POSITIONS crystal
Te 0.0026 0.7460 0.0053
Tb 0.8325 0.1667 0.6650
Nd 0.8331 0.6664 0.6662
Te 0.3320 0.9232 0.6639
Te 0.3358 0.4110 0.6716
Pm 0.5000 0.0000 0.0000
Te 0.6642 0.5890 0.3284
Tb 0.5000 0.5000 0.0000
Te 0.9974 0.2540 0.9947
Tb 0.1675 0.8333 0.3350
Te 0.6680 0.0768 0.3361
Nd 0.1669 0.3336 0.3338
CELL_PARAMETERS angstrom
4.3955 0.0000 0.0000
0.0000 8.9301 0.2634
-2.1978 -2.6313 9.3179
! Energy relative to the elements, uncorrected   -1.37 eV per atom
! N(E_F)   6.2 states/eV/cell
! Space-group type   C2/m (12)